10
Lattice="4.298 0.000 0.000 0.000 4.298 0.000 0.000 0.000 10.175" Properties=species:S:1:pos:R:3 comment="Ce2Al4NiPd3, optimized geometry, DFT GGA-PBE" delta_e_f_ev_per_fu=-7.24 dft_energy_ry_per_atom=-0.4075 m_tot_mub_per_cell=1.73 space_group="No. 115" pbc="T T T"
Al 0.000 0.000 0.000
Al 2.149 2.149 0.000
Al 2.149 0.000 6.301
Al 0.000 2.149 3.874
Pd 0.000 2.149 1.373
Pd 0.000 0.000 5.088
Pd 2.149 0.000 8.802
Ce 2.149 0.000 2.611
Ce 0.000 2.149 7.564
Ni 2.149 2.149 5.088

***

4
Lattice="5.007 0.000 0.000 2.504 4.336 0.000 2.504 1.445 4.088" Properties=species:S:1:pos:R:3 comment="PmLuAlRh, optimized geometry, DFT GGA-PBE" delta_e_f_ev_per_fu=-2.08 dft_energy_ry_per_atom=-0.4125 m_tot_mub_per_cell=0.00 space_group="No. 216" pbc="T T T"
Al 5.007 2.891 2.044
Rh 0.000 0.000 0.000
Lu 7.511 4.336 3.066
Pm 2.504 1.445 1.022

***

4
Lattice="-2.523 -4.684 1.877 0.835 -1.721 5.308 -4.178 0.365 3.774" Properties=species:S:1:pos:R:3 comment="RbMnBr2, optimized geometry, DFT GGA-PBE" relative_energy_ev_per_atom=0.244 dft_energy_ry_per_atom=-0.2831 m_tot_mub_per_cell=6.00 space_group="No. 225" raw_formation_energy_mev_per_atom=-481 pbc="T T T"
Br -4.400 -4.530 8.219
Br -1.467 -1.510 2.740
Mn 0.000 0.000 0.000
Rb -2.933 -3.020 5.479

***

5
Lattice="5.594 0.000 0.000 0.000 5.594 0.000 0.000 0.000 6.789" Properties=species:S:1:pos:R:3 comment="RbCdSb2I, optimized geometry, DFT GGA-PBE" relative_energy_ev_per_atom=0.000 dft_energy_ry_per_atom=-0.1721 m_tot_mub_per_cell=1.69 space_group="No. 123" raw_formation_energy_mev_per_atom=-6 pbc="T T T"
I 0.000 0.000 3.395
Sb 2.797 0.000 0.000
Sb 0.000 2.797 0.000
Cd 0.000 0.000 0.000
Rb 2.797 2.797 3.395

***

15
Lattice="6.948 0.000 2.283 3.099 6.219 2.283 -0.038 -0.024 11.834" Properties=species:S:1:pos:R:3 comment="Pr6AgBr8, optimized geometry, DFT GGA-PBE" dft_energy_ry_per_atom=-0.3184 m_tot_mub_per_cell=0.00 space_group="No. 148" raw_formation_energy_mev_per_atom=-1338 pbc="T T T"
Pr 5.142 1.697 3.948
Pr 8.486 3.846 5.483
Pr 5.183 0.315 11.705
Pr 4.867 4.498 12.451
Pr 4.826 5.880 4.694
Pr 1.523 2.350 10.916
Br 3.378 0.662 9.214
Br 3.349 2.073 1.522
Br 3.267 3.467 5.659
Br 6.742 2.728 10.739
Br 3.141 4.817 9.981
Br 6.660 4.122 14.877
Br 6.868 1.378 6.418
Br 6.631 5.533 7.184
Ag 0.000 0.000 0.000

***

6
Lattice="4.886 0.000 0.000 2.443 4.231 0.000 2.443 1.410 3.989" Properties=species:S:1:pos:R:3 comment="LuFe4Co, optimized geometry, DFT GGA-PBE" delta_e_f_ev_per_fu=-0.09 dft_energy_ry_per_atom=-0.5581 m_tot_mub_per_cell=10.78 space_group="No. 216" pbc="T T T"
Lu 0.000 0.000 0.000
Fe 4.886 2.821 0.506
Fe 4.886 1.417 2.491
Fe 3.670 3.523 2.491
Fe 6.102 3.523 2.491
Co 2.443 1.410 0.997

***

9
Lattice="-3.271 1.491 -3.728 -4.033 -4.975 -2.049 -5.807 2.355 2.439" Properties=species:S:1:pos:R:3 comment="Ce4AlRu4, optimized geometry, DFT GGA-PBE" delta_e_f_ev_per_fu=-2.64 dft_energy_ry_per_atom=-0.5490 m_tot_mub_per_cell=0.00 space_group="No. 87" pbc="T T T"
Ce -3.445 -1.109 -1.018
Ce -6.760 -2.392 -2.221
Ce -6.350 1.264 -1.118
Ce -9.665 -0.020 -2.320
Ru -8.264 -0.870 -0.293
Ru -4.743 0.789 0.880
Ru -8.367 -1.918 -4.218
Ru -4.846 -0.259 -3.046
Al 0.000 0.000 0.000

***

4
Lattice="4.245 0.000 0.000 2.123 3.677 0.000 2.123 1.226 3.466" Properties=species:S:1:pos:R:3 comment="Fe2RuRh, optimized geometry, DFT GGA-PBE" delta_e_f_ev_per_fu=0.93 dft_energy_ry_per_atom=-0.5994 m_tot_mub_per_cell=7.51 space_group="No. 216" pbc="T T T"
Fe 6.368 3.677 2.600
Fe 0.000 0.000 0.000
Rh 4.245 2.451 1.733
Ru 2.123 1.226 0.867

***

18
Lattice="7.721 0.000 0.000 0.000 7.721 0.000 -3.861 -3.861 5.641" Properties=species:S:1:pos:R:3 comment="Cd2SbPd5Pt, optimized geometry, DFT GGA-PBE" dft_energy_ry_per_atom=-0.3087 m_tot_mub_per_cell=0.00 space_group="No. 140" raw_formation_energy_mev_per_atom=18 pbc="T T T"
Cd 6.828 4.754 0.000
Cd 4.754 0.894 0.000
Cd 0.894 2.967 0.000
Cd 2.967 6.828 0.000
Pd 0.000 0.000 0.000
Pd 1.547 2.314 4.097
Pd 5.407 6.175 1.544
Pd 3.861 3.861 0.000
Pd 2.314 1.547 1.544
Pd 6.175 2.314 1.544
Pd -2.314 1.547 4.097
Pd 1.547 5.407 1.544
Pd 2.314 -1.547 4.097
Pd -1.547 -2.314 4.097
Sb 0.000 0.000 2.820
Sb 3.861 3.861 2.820
Pt 0.000 3.861 2.820
Pt 3.861 0.000 2.820

***

4
Lattice="5.477 0.000 0.000 2.738 4.743 0.000 2.738 1.581 4.472" Properties=species:S:1:pos:R:3 comment="K2InCo, optimized geometry, DFT GGA-PBE" delta_e_f_ev_per_fu=2.67 dft_energy_ry_per_atom=-0.1722 m_tot_mub_per_cell=1.40 space_group="No. 216" pbc="T T T"
K 0.000 0.000 0.000
K 2.738 1.581 1.118
In 8.215 4.743 3.354
Co 5.477 3.162 2.236